1.
# K3RuO4

A geometry-optimized K3RuO4 structure (PBE, Alexandria via LeMat-Bulk).

Structure (CIF):
```
data_K3RuO4
_cell_length_a 8.4266
_cell_length_b 6.7186
_cell_length_c 6.1173
_cell_angle_alpha 90.00
_cell_angle_beta 90.00
_cell_angle_gamma 90.00
_symmetry_space_group_name_H-M 'P 1'
_symmetry_Int_Tables_number 1
loop_
_symmetry_equiv_pos_as_xyz
'x,y,z'
loop_
_atom_site_label
_atom_site_fract_x
_atom_site_fract_y
_atom_site_fract_z
K1 0.0000 0.1260 0.0000
K2 0.2385 0.3304 0.4776
K3 0.2615 0.6696 0.9776
K4 0.5000 0.8740 0.5000
K5 0.7385 0.6696 0.9776
K6 0.7615 0.3304 0.4776
Ru1 0.0000 0.8204 0.4643
Ru2 0.5000 0.1796 0.9643
O1 0.0000 0.0827 0.5551
O2 0.0000 0.7538 0.1697
O3 0.1966 0.7228 0.5468
O4 0.3034 0.2772 0.0468
O5 0.5000 0.2462 0.6697
O6 0.5000 0.9173 0.0551
O7 0.6966 0.2772 0.0468
O8 0.8034 0.7228 0.5468
```

Properties
* formation energy without anion corrections: -1.281 eV/atom
* energy: -5.331 eV per atom



2.
# KRuO6

A geometry-optimized KRuO6 structure (PBE, Alexandria via LeMat-Bulk).

Structure (CIF):
```
data_KRuO6
_cell_length_a 5.0114
_cell_length_b 5.0114
_cell_length_c 5.0114
_cell_angle_alpha 95.50
_cell_angle_beta 95.50
_cell_angle_gamma 95.50
_symmetry_space_group_name_H-M 'P 1'
_symmetry_Int_Tables_number 1
loop_
_symmetry_equiv_pos_as_xyz
'x,y,z'
loop_
_atom_site_label
_atom_site_fract_x
_atom_site_fract_y
_atom_site_fract_z
K1 0.0000 0.0000 0.0000
Ru1 0.5000 0.5000 0.5000
O1 0.2441 0.2441 0.5965
O2 0.2441 0.5965 0.2441
O3 0.4035 0.7559 0.7559
O4 0.5965 0.2441 0.2441
O5 0.7559 0.4035 0.7559
O6 0.7559 0.7559 0.4035
```

Properties
* formation energy without anion corrections: -0.131 eV/atom
* energy: -5.146 eV per atom



3.
# K5RuO5

A geometry-optimized K5RuO5 structure (PBE, Alexandria via LeMat-Bulk).

Structure (CIF):
```
data_K5RuO5
_cell_length_a 6.4623
_cell_length_b 6.4623
_cell_length_c 7.1572
_cell_angle_alpha 107.14
_cell_angle_beta 107.14
_cell_angle_gamma 46.15
_symmetry_space_group_name_H-M 'P 1'
_symmetry_Int_Tables_number 1
loop_
_symmetry_equiv_pos_as_xyz
'x,y,z'
loop_
_atom_site_label
_atom_site_fract_x
_atom_site_fract_y
_atom_site_fract_z
K1 0.0000 0.0000 0.0000
K2 0.3173 0.3173 0.1987
K3 0.3285 0.3285 0.6516
K4 0.6715 0.6715 0.3484
K5 0.6827 0.6827 0.8013
Ru1 0.0000 0.0000 0.5000
O1 0.1213 0.1213 0.3679
O2 0.1256 0.1256 0.7605
O3 0.5000 0.5000 0.5000
O4 0.8744 0.8744 0.2395
O5 0.8787 0.8787 0.6321
```

Properties
* formation energy without anion corrections: -1.102 eV/atom
* energy: -4.698 eV per atom



4.
# K3Ru2O7

A geometry-optimized K3Ru2O7 structure (PBE, Alexandria via LeMat-Bulk).

Structure (CIF):
```
data_K3Ru2O7
_cell_length_a 11.3054
_cell_length_b 11.3054
_cell_length_c 3.9109
_cell_angle_alpha 90.00
_cell_angle_beta 90.00
_cell_angle_gamma 159.92
_symmetry_space_group_name_H-M 'P 1'
_symmetry_Int_Tables_number 1
loop_
_symmetry_equiv_pos_as_xyz
'x,y,z'
loop_
_atom_site_label
_atom_site_fract_x
_atom_site_fract_y
_atom_site_fract_z
K1 0.0000 0.0000 0.0000
K2 0.1801 0.8199 0.0000
K3 0.8199 0.1801 0.0000
Ru1 0.4107 0.5893 0.5000
Ru2 0.5893 0.4107 0.5000
O1 0.0880 0.9120 0.5000
O2 0.3267 0.6733 0.5000
O3 0.4120 0.5880 0.0000
O4 0.5000 0.5000 0.5000
O5 0.5880 0.4120 0.0000
O6 0.6733 0.3267 0.5000
O7 0.9120 0.0880 0.5000
```

Properties
* formation energy without anion corrections: -1.154 eV/atom
* energy: -5.867 eV per atom



5.
# KRu2O7

A geometry-optimized KRu2O7 structure (PBE, Alexandria via LeMat-Bulk).

Structure (CIF):
```
data_KRu2O7
_cell_length_a 6.0319
_cell_length_b 6.0319
_cell_length_c 3.7861
_cell_angle_alpha 90.00
_cell_angle_beta 90.00
_cell_angle_gamma 118.42
_symmetry_space_group_name_H-M 'P 1'
_symmetry_Int_Tables_number 1
loop_
_symmetry_equiv_pos_as_xyz
'x,y,z'
loop_
_atom_site_label
_atom_site_fract_x
_atom_site_fract_y
_atom_site_fract_z
K1 0.0000 0.0000 0.0000
Ru1 0.3100 0.6900 0.5000
Ru2 0.6900 0.3100 0.5000
O1 0.0343 0.3346 0.5000
O2 0.3089 0.6911 0.0000
O3 0.3346 0.0343 0.5000
O4 0.5000 0.5000 0.5000
O5 0.6654 0.9657 0.5000
O6 0.6911 0.3089 0.0000
O7 0.9657 0.6654 0.5000
```

Properties
* formation energy without anion corrections: -0.772 eV/atom
* energy: -6.207 eV per atom



6.
# KRuO3

A geometry-optimized KRuO3 structure (PBE, Alexandria via LeMat-Bulk).

Structure (CIF):
```
data_KRuO3
_cell_length_a 7.3338
_cell_length_b 5.5592
_cell_length_c 11.6060
_cell_angle_alpha 90.00
_cell_angle_beta 118.47
_cell_angle_gamma 90.00
_symmetry_space_group_name_H-M 'P 1'
_symmetry_Int_Tables_number 1
loop_
_symmetry_equiv_pos_as_xyz
'x,y,z'
loop_
_atom_site_label
_atom_site_fract_x
_atom_site_fract_y
_atom_site_fract_z
K1 0.2310 0.2192 0.1539
K2 0.2310 0.2808 0.6539
K3 0.7690 0.7192 0.3461
K4 0.7690 0.7808 0.8461
Ru1 0.4171 0.7502 0.4994
Ru2 0.4171 0.7498 0.9994
Ru3 0.5829 0.2502 0.0006
Ru4 0.5829 0.2498 0.5006
O1 0.1815 0.7436 0.5058
O2 0.1815 0.7564 0.0058
O3 0.3672 0.0497 0.8848
O4 0.3672 0.4503 0.3848
O5 0.4617 0.5501 0.8840
O6 0.4617 0.9499 0.3840
O7 0.5383 0.0501 0.6160
O8 0.5383 0.4499 0.1160
O9 0.6328 0.5497 0.6152
O10 0.6328 0.9503 0.1152
O11 0.8185 0.2436 0.9942
O12 0.8185 0.2564 0.4942
```

Properties
* formation energy without anion corrections: -1.203 eV/atom
* energy: -6.253 eV per atom



7.
# KRuO3

A geometry-optimized KRuO3 structure (PBE, Alexandria via LeMat-Bulk).

Structure (CIF):
```
data_KRuO3
_cell_length_a 7.2314
_cell_length_b 5.3305
_cell_length_c 7.2746
_cell_angle_alpha 90.00
_cell_angle_beta 97.98
_cell_angle_gamma 90.00
_symmetry_space_group_name_H-M 'P 1'
_symmetry_Int_Tables_number 1
loop_
_symmetry_equiv_pos_as_xyz
'x,y,z'
loop_
_atom_site_label
_atom_site_fract_x
_atom_site_fract_y
_atom_site_fract_z
K1 0.1165 0.1921 0.1932
K2 0.1165 0.3079 0.6932
K3 0.8835 0.6921 0.3068
K4 0.8835 0.8079 0.8068
Ru1 0.4223 0.7474 0.5735
Ru2 0.4223 0.7526 0.0735
Ru3 0.5777 0.2474 0.9265
Ru4 0.5777 0.2526 0.4265
O1 0.1782 0.6776 0.0834
O2 0.1782 0.8224 0.5834
O3 0.3448 0.0784 0.9514
O4 0.3448 0.4216 0.4514
O5 0.4433 0.5676 0.8334
O6 0.4433 0.9324 0.3334
O7 0.5567 0.0676 0.6666
O8 0.5567 0.4324 0.1666
O9 0.6552 0.5784 0.5486
O10 0.6552 0.9216 0.0486
O11 0.8218 0.1776 0.4166
O12 0.8218 0.3224 0.9166
```

Properties
* formation energy without anion corrections: -1.158 eV/atom
* energy: -6.207 eV per atom



8.
# KRu2O8

A geometry-optimized KRu2O8 structure (PBE, Alexandria via LeMat-Bulk).

Structure (CIF):
```
data_KRu2O8
_cell_length_a 6.4090
_cell_length_b 6.4090
_cell_length_c 7.0188
_cell_angle_alpha 110.97
_cell_angle_beta 110.97
_cell_angle_gamma 52.79
_symmetry_space_group_name_H-M 'P 1'
_symmetry_Int_Tables_number 1
loop_
_symmetry_equiv_pos_as_xyz
'x,y,z'
loop_
_atom_site_label
_atom_site_fract_x
_atom_site_fract_y
_atom_site_fract_z
K1 0.0000 0.0000 0.0000
Ru1 0.2058 0.2058 0.6970
Ru2 0.7942 0.7942 0.3030
O1 0.0973 0.6092 0.2245
O2 0.1553 0.1553 0.4281
O3 0.3703 0.3703 0.8141
O4 0.3908 0.9027 0.7755
O5 0.6092 0.0973 0.2245
O6 0.6297 0.6297 0.1859
O7 0.8447 0.8447 0.5719
O8 0.9027 0.3908 0.7755
```

Properties
* distance to the lowest polymorph of the same formula: 0 meV per atom
* formation energy without anion corrections: -0.879 eV/atom
* energy: -6.271 eV per atom